Density functional theory data (PBE) for Sc4P3Se after structural relaxation.

Properties
E above lowest polymorph (eV per atom): 0.029
DOS(E_F) (states/eV per cell): 3.22
Formation energy from raw total energies (eV per formula unit): -12.41
Magnetization (μB per atom): 0.000

Unit cell a=5.3479 b=5.3479 c=5.3479 alpha=90.00 beta=90.00 gamma=90.00
Space group Pm-3m (No. 221)
One atom of each set of equivalent atoms:
1 Sc 0.0000 0.0000 0.0000 (multiplicity 1)
2 Sc 0.0000 0.5000 0.5000 (multiplicity 3)
3 P 0.0000 0.0000 0.5000 (multiplicity 3)
4 Se 0.5000 0.5000 0.5000 (multiplicity 1)

Density functional theory data (PBE) for K3Ac2CrSe6 after structural relaxation.

Properties
Formation energy from raw total energies (eV per formula unit): -16.79
Magnetization (μB per atom): 0.246

Unit cell a=7.5299 b=13.0480 c=8.1283 alpha=90.00 beta=108.26 gamma=90.00
Space group C2/m (No. 12)
One atom of each set of equivalent atoms:
1 K 0.0000 0.0000 0.0000 (multiplicity 2)
2 K 0.0000 0.3318 0.0000 (multiplicity 4)
3 Ac 0.0000 0.1664 0.5000 (multiplicity 4)
4 Cr 0.0000 0.5000 0.5000 (multiplicity 2)
5 Se 0.2144 0.3539 0.7041 (multiplicity 8)
6 Se 0.2221 0.5000 0.2980 (multiplicity 4)

Density functional theory data (PBE) for Rb2CoBSe after structural relaxation.

Properties
DOS(E_F) (states/eV per cell): 4.16
Formation energy from raw total energies (eV per formula unit): 4.44
Magnetization (μB per atom): 0.508

Unit cell a=6.6924 b=6.6924 c=4.2363 alpha=90.00 beta=90.00 gamma=90.00
Space group P4/mmm (No. 123)
One atom of each set of equivalent atoms:
1 Rb 0.0000 0.5000 0.0000 (multiplicity 2)
2 Co 0.0000 0.0000 0.5000 (multiplicity 1)
3 B 0.5000 0.5000 0.5000 (multiplicity 1)
4 Se 0.5000 0.5000 0.0000 (multiplicity 1)

Density functional theory data (PBE) for ReMoSe2 after structural relaxation.

Properties
E above lowest polymorph (eV per atom): 0.456
DOS(E_F) (states/eV per cell): 10.84
Formation energy from raw total energies (eV per formula unit): 1.52
Magnetization (μB per atom): 0.000

Unit cell a=6.2668 b=6.2668 c=6.2668 alpha=90.00 beta=90.00 gamma=90.00
Space group Fm-3m (No. 225)
One atom of each set of equivalent atoms:
1 Re 0.0000 0.0000 0.0000 (multiplicity 4)
2 Mo 0.0000 0.0000 0.5000 (multiplicity 4)
3 Se 0.2500 0.2500 0.2500 (multiplicity 8)

Density functional theory data (PBE) for Pm4SnBiTe2 after structural relaxation.

Properties
DOS(E_F) (states/eV per cell): 1.71
Formation energy from raw total energies (eV per formula unit): -9.38
Magnetization (μB per atom): 0.000

Unit cell a=7.8036 b=4.5202 c=7.8310 alpha=90.00 beta=109.48 gamma=90.00
Space group P2/m (No. 10)
One atom of each set of equivalent atoms:
1 Pm 0.2414 0.0000 0.2421 (multiplicity 2)
2 Pm 0.2435 0.5000 0.7536 (multiplicity 2)
3 Sn 0.0000 0.5000 0.0000 (multiplicity 1)
4 Bi 0.0000 0.0000 0.5000 (multiplicity 1)
5 Te 0.5000 0.0000 0.0000 (multiplicity 1)
6 Te 0.5000 0.5000 0.5000 (multiplicity 1)

Density functional theory data (PBE) for NdH2 after structural relaxation.

Properties
DOS(E_F) (states/eV per cell): 2.17
Magnetization (μB per atom): 0.000
Total energy (eV per atom): -4.474

Unit cell a=5.4743 b=5.4743 c=5.4743 alpha=90.00 beta=90.00 gamma=90.00
Space group Fm-3m (No. 225)
One atom of each set of equivalent atoms:
1 Nd 0.0000 0.0000 0.0000 (multiplicity 4)
2 H 0.2500 0.2500 0.2500 (multiplicity 8)

Density functional theory data (PBE) for Pr4HIrSe2 after structural relaxation.

Properties
DOS(E_F) (states/eV per cell): 4.98
Magnetization (μB per atom): 0.000
Total energy (eV per atom): -5.890

Unit cell a=6.9662 b=4.1284 c=7.6119 alpha=90.00 beta=108.99 gamma=90.00
Space group P2/m (No. 10)
One atom of each set of equivalent atoms:
1 Pr 0.2414 0.0000 0.2253 (multiplicity 2)
2 Pr 0.2555 0.5000 0.7670 (multiplicity 2)
3 H 0.5000 0.0000 0.0000 (multiplicity 1)
4 Ir 0.0000 0.5000 0.0000 (multiplicity 1)
5 Se 0.0000 0.0000 0.5000 (multiplicity 1)
6 Se 0.5000 0.5000 0.5000 (multiplicity 1)

Density functional theory data (PBE) for Pr3Al8Pd3 after structural relaxation.

Properties
DOS(E_F) (states/eV per cell): 11.88
Magnetization (μB per atom): 0.000
Energy of formation from the pure elements (eV per atom): -0.6657

Unit cell a=16.0779 b=4.5504 c=9.0622 alpha=90.00 beta=123.48 gamma=90.00
Space group C2/m (No. 12)
One atom of each set of equivalent atoms:
1 Pr 0.0000 0.0000 0.0000 (multiplicity 2)
2 Pr 0.2134 0.5000 0.6958 (multiplicity 4)
3 Al 0.0074 0.5000 0.6767 (multiplicity 4)
4 Al 0.1309 0.0000 0.4203 (multiplicity 4)
5 Al 0.1487 0.0000 0.8599 (multiplicity 4)
6 Al 0.1498 0.5000 0.2794 (multiplicity 4)
7 Pd 0.0000 0.0000 0.5000 (multiplicity 2)
8 Pd 0.1546 0.5000 0.0009 (multiplicity 4)